This record from Alexandria describes TbY2AlN after structural relaxation. The functional is PBE.

abc: 4.786 4.786 4.808
angles: 90.00 90.00 90.00
Sites, in units of the cell vectors:
Tb 0.000 0.000 0.000
Y 0.000 0.500 0.500
Y 0.500 0.000 0.500
Al 0.500 0.500 0.000
N 0.000 0.000 0.500

Calculated values
DFT total energy   -0.5032 Ry/atom
SG   P4/mmm (123)
ρ   5.7 g/cm³

---

This record from Alexandria describes Ta2SbIr after structural relaxation. The functional is PBE.

abc: 9.296 9.296 9.296
angles: 19.21 19.21 19.21
Sites, in units of the cell vectors:
Ta 0.000 0.000 0.000
Ta 0.249 0.249 0.249
Sb 0.495 0.495 0.495
Ir 0.738 0.738 0.738

Calculated values
DFT total energy   -0.6682 Ry/atom
SG   R3m (160)
ρ   14.8 g/cm³

---

This record from Alexandria describes TaMn3Br after structural relaxation. The functional is PBE.

abc: 4.252 4.252 4.252
angles: 90.00 90.00 90.00
Sites, in units of the cell vectors:
Ta 0.000 0.000 0.000
Mn 0.000 0.500 0.500
Mn 0.500 0.000 0.500
Mn 0.500 0.500 0.000
Br 0.500 0.500 0.500

Calculated values
DFT total energy   -0.5000 Ry/atom
SG   Pm-3m (221)
ρ   9.2 g/cm³

---

This record from Alexandria describes TePbBrN2 after structural relaxation. The functional is PBE.

abc: 4.763 4.763 6.091
angles: 90.00 90.00 90.00
Sites, in units of the cell vectors:
Te 0.000 0.000 0.000
Pb 0.500 0.500 0.000
Br 0.000 0.000 0.500
N 0.000 0.500 0.500
N 0.500 0.000 0.500

Calculated values
DFT total energy   -0.2274 Ry/atom
SG   P4/mmm (123)
ρ   5.3 g/cm³

---

This record from Alexandria describes La4PRuCl2 after structural relaxation. The functional is PBE.

abc: 7.467 4.141 7.591
angles: 90.00 106.28 90.00
Sites, in units of the cell vectors:
La 0.230 0.000 0.214
La 0.250 0.500 0.792
La 0.750 0.500 0.208
La 0.770 0.000 0.786
P 0.500 0.000 0.000
Ru 0.000 0.500 0.000
Cl 0.000 0.000 0.500
Cl 0.500 0.500 0.500

Calculated values
DFT total energy   -0.4482 Ry/atom
SG   P2/m (10)
ρ   5.6 g/cm³

---

This record from Alexandria describes ErScNi2 after structural relaxation. The functional is PBE.

abc: 4.614 4.614 4.614
angles: 60.00 60.00 60.00
Sites, in units of the cell vectors:
Er 0.000 0.000 0.000
Sc 0.500 0.500 0.500
Ni 0.250 0.250 0.250
Ni 0.750 0.750 0.750

Calculated values
ΔE_f   -447 meV/atom
SG   Fm-3m (225)
ρ   7.9 g/cm³

---

This record from Alexandria describes SrPdAu11 after structural relaxation. The functional is PBE.

abc: 7.318 7.318 7.237
angles: 98.14 98.14 134.65
Sites, in units of the cell vectors:
Sr 0.000 0.000 0.000
Pd 0.000 0.000 0.500
Au 0.000 0.500 0.000
Au 0.014 0.669 0.647
Au 0.283 0.498 0.782
Au 0.331 0.986 0.353
Au 0.498 0.283 0.782
Au 0.500 0.000 0.000
Au 0.500 0.500 0.500
Au 0.502 0.717 0.218
Au 0.669 0.014 0.647
Au 0.717 0.502 0.218
Au 0.986 0.331 0.353

Calculated values
ΔE_f   -214 meV/atom
SG   C2/m (12)
ρ   15.3 g/cm³

---

This record from Alexandria describes MnIrPb after structural relaxation. The functional is PBE.

abc: 4.454 4.454 4.454
angles: 60.00 60.00 60.00
Sites, in units of the cell vectors:
Mn 0.000 0.000 0.000
Ir 0.250 0.250 0.250
Pb 0.500 0.500 0.500

Calculated values
ΔE_f   271 meV/atom
SG   F-43m (216)
ρ   12.1 g/cm³

---

This record from Alexandria describes GaMoBr3 after structural relaxation. The functional is PBE.

abc: 5.294 5.294 5.294
angles: 90.00 90.00 90.00
Sites, in units of the cell vectors:
Ga 0.000 0.000 0.000
Mo 0.500 0.500 0.500
Br 0.000 0.000 0.500
Br 0.000 0.500 0.000
Br 0.500 0.000 0.000

Calculated values
DFT total energy   -0.2457 Ry/atom
SG   Pm-3m (221)
ρ   4.5 g/cm³

---

This record from Alexandria describes Ba2ZnCuBi2F14 after structural relaxation. The functional is PBE.

abc: 7.794 7.794 16.605
angles: 90.73 90.73 39.82
Sites, in units of the cell vectors:
Ba 0.081 0.284 0.368
Ba 0.284 0.081 0.868
Ba 0.716 0.919 0.132
Ba 0.919 0.716 0.632
Zn 0.433 0.567 0.250
Zn 0.567 0.433 0.750
Cu 0.500 0.500 0.000
Cu 0.500 0.500 0.500
Bi 0.053 0.161 0.121
Bi 0.161 0.053 0.621
Bi 0.839 0.947 0.379
Bi 0.947 0.839 0.879
F 0.020 0.338 0.719
F 0.102 0.402 0.102
F 0.126 0.721 0.014
F 0.140 0.565 0.449
F 0.141 0.818 0.171
F 0.182 0.859 0.329
F 0.234 0.561 0.765
F 0.279 0.874 0.486
F 0.331 0.612 0.604
F 0.338 0.020 0.219
F 0.388 0.669 0.896
F 0.402 0.102 0.602
F 0.435 0.860 0.051
F 0.439 0.766 0.735
F 0.561 0.234 0.265
F 0.565 0.140 0.949
F 0.598 0.898 0.398
F 0.612 0.331 0.104
F 0.662 0.980 0.781
F 0.669 0.388 0.396
F 0.721 0.126 0.514
F 0.766 0.439 0.235
F 0.818 0.141 0.671
F 0.859 0.182 0.829
F 0.860 0.435 0.551
F 0.874 0.279 0.986
F 0.898 0.598 0.898
F 0.980 0.662 0.281

Calculated values
DFT total energy   -0.3581 Ry/atom
SG   C2/c (15)
ρ   5.6 g/cm³

---

This record from Alexandria describes PuNb2Re after structural relaxation. The functional is PBE.

abc: 3.196 3.196 7.311
angles: 90.00 90.00 90.00
Sites, in units of the cell vectors:
Pu 0.000 0.000 0.000
Nb 0.500 0.500 0.280
Nb 0.500 0.500 0.720
Re 0.000 0.000 0.500

Calculated values
ΔE_f   52 meV/atom
SG   P4/mmm (123)
ρ   13.7 g/cm³

---

This record from Alexandria describes K2AgHg16 after structural relaxation. The functional is PBE.

abc: 8.299 8.299 8.299
angles: 78.72 78.72 78.72
Sites, in units of the cell vectors:
K 0.000 0.000 0.000
K 0.316 0.316 0.316
Ag 0.621 0.621 0.621
Hg 0.019 0.019 0.572
Hg 0.019 0.572 0.019
Hg 0.266 0.611 0.611
Hg 0.280 0.280 0.892
Hg 0.280 0.892 0.280
Hg 0.376 0.676 0.969
Hg 0.376 0.969 0.676
Hg 0.572 0.019 0.019
Hg 0.611 0.266 0.611
Hg 0.611 0.611 0.266
Hg 0.676 0.376 0.969
Hg 0.676 0.969 0.376
Hg 0.790 0.790 0.790
Hg 0.892 0.280 0.280
Hg 0.969 0.376 0.676
Hg 0.969 0.676 0.376

Calculated values
ΔE_f   -95 meV/atom
SG   R3m (160)
ρ   10.4 g/cm³

---

This record from Alexandria describes FeMoRu2 after structural relaxation. The functional is PBE.

abc: 4.612 4.612 2.753
angles: 90.00 90.00 107.71
Sites, in units of the cell vectors:
Fe 0.000 0.000 0.000
Mo 0.500 0.500 0.000
Ru 0.000 0.500 0.500
Ru 0.500 0.000 0.500

Calculated values
ΔE_f   136 meV/atom
SG   Cmmm (65)
ρ   10.5 g/cm³

---

This record from Alexandria describes SrCrGa2Tc after structural relaxation. The functional is PBE.

abc: 4.822 4.822 4.483
angles: 90.00 90.00 90.00
Sites, in units of the cell vectors:
Sr 0.000 0.000 0.000
Cr 0.500 0.500 0.500
Ga 0.000 0.500 0.500
Ga 0.500 0.000 0.500
Tc 0.500 0.500 0.000

Calculated values
ΔE_f   266 meV/atom
SG   P4/mmm (123)
ρ   6.0 g/cm³

---

This record from Alexandria describes CsCd3Rh after structural relaxation. The functional is PBE.

abc: 7.161 7.473 7.520
angles: 64.17 68.64 65.08
Sites, in units of the cell vectors:
Cs 0.000 0.000 0.000
Cs 0.031 0.641 0.632
Cd 0.015 0.320 0.317
Cd 0.476 0.891 0.505
Cd 0.493 0.509 0.882
Cd 0.515 0.320 0.317
Cd 0.537 0.131 0.752
Cd 0.555 0.749 0.130
Rh 0.406 0.148 0.132
Rh 0.625 0.492 0.502

Calculated values
ΔE_f   -28 meV/atom
SG   P1 (1)
ρ   5.9 g/cm³

---

This record from Alexandria describes La2PuHfN5 after structural relaxation. The functional is PBE.

abc: 7.272 7.272 11.170
angles: 90.00 90.00 152.22
Sites, in units of the cell vectors:
La 0.106 0.894 0.500
La 0.146 0.854 0.097
La 0.854 0.146 0.597
La 0.894 0.106 0.000
Pu 0.469 0.531 0.272
Pu 0.531 0.469 0.772
Hf 0.225 0.775 0.827
Hf 0.775 0.225 0.327
N 0.067 0.933 0.875
N 0.272 0.728 0.465
N 0.315 0.685 0.211
N 0.374 0.626 0.814
N 0.493 0.507 0.594
N 0.507 0.493 0.094
N 0.626 0.374 0.314
N 0.685 0.315 0.711
N 0.728 0.272 0.965
N 0.933 0.067 0.375

Calculated values
DFT total energy   -0.7110 Ry/atom
SG   Cmc2_1 (36)
ρ   9.3 g/cm³

---

This record from Alexandria describes Li2ReAu after structural relaxation. The functional is PBE.

abc: 5.080 5.080 2.563
angles: 90.00 90.00 113.79
Sites, in units of the cell vectors:
Li 0.000 0.500 0.000
Li 0.500 0.000 0.000
Re 0.000 0.000 0.500
Au 0.500 0.500 0.500

Calculated values
ΔE_f   243 meV/atom
SG   Cmmm (65)
ρ   10.9 g/cm³

---

This record from Alexandria describes PuHfZr2 after structural relaxation. The functional is PBE.

abc: 5.203 3.206 22.525
angles: 90.00 90.00 90.00
Sites, in units of the cell vectors:
Pu 0.250 0.000 0.164
Pu 0.250 0.500 0.292
Pu 0.750 0.000 0.836
Pu 0.750 0.500 0.708
Hf 0.250 0.000 0.417
Hf 0.250 0.500 0.039
Hf 0.750 0.000 0.583
Hf 0.750 0.500 0.961
Zr 0.250 0.000 0.664
Zr 0.250 0.000 0.918
Zr 0.250 0.500 0.541
Zr 0.250 0.500 0.791
Zr 0.750 0.000 0.082
Zr 0.750 0.000 0.336
Zr 0.750 0.500 0.209
Zr 0.750 0.500 0.459

Calculated values
ΔE_f   79 meV/atom
SG   Pmma (51)
ρ   10.7 g/cm³

---

This record from Alexandria describes Ho3BiS6 after structural relaxation. The functional is PBE.

abc: 11.140 4.001 11.330
angles: 90.00 109.04 90.00
Sites, in units of the cell vectors:
Ho 0.067 0.250 0.166
Ho 0.171 0.750 0.497
Ho 0.339 0.250 0.917
Ho 0.661 0.750 0.083
Ho 0.829 0.250 0.503
Ho 0.933 0.750 0.834
Bi 0.469 0.250 0.314
Bi 0.531 0.750 0.686
S 0.019 0.250 0.386
S 0.103 0.250 0.937
S 0.233 0.750 0.278
S 0.304 0.750 0.747
S 0.385 0.250 0.532
S 0.419 0.750 0.090
S 0.581 0.250 0.910
S 0.615 0.750 0.468
S 0.696 0.250 0.253
S 0.767 0.250 0.722
S 0.897 0.750 0.063
S 0.981 0.750 0.614

Calculated values
DFT total energy   -0.4311 Ry/atom
SG   P2_1/m (11)
ρ   6.2 g/cm³

---

This record from Alexandria describes Ni3SbAs after structural relaxation. The functional is PBE.

abc: 4.399 4.399 4.399
angles: 90.00 90.00 90.00
Sites, in units of the cell vectors:
Ni 0.000 0.000 0.500
Ni 0.000 0.500 0.000
Ni 0.500 0.000 0.000
Sb 0.500 0.500 0.500
As 0.000 0.000 0.000

Calculated values
DFT total energy   -0.3651 Ry/atom
SG   Pm-3m (221)
ρ   7.3 g/cm³